A relaxed CaAcAlCu crystal. Source: Alexandria, functional GGA-PBE.

Geometry as CIF:
```
data_CaAcAlCu
_symmetry_space_group_name_H-M 'F -4 3 m'
_symmetry_Int_Tables_number 216
_symmetry_space_group_name_Hall 'F -4 2 3'
_cell_length_a 7.586
_cell_length_b 7.586
_cell_length_c 7.586
_cell_angle_alpha 90.00
_cell_angle_beta 90.00
_cell_angle_gamma 90.00
loop_
_atom_site_label
_atom_site_type_symbol
_atom_site_fract_x
_atom_site_fract_y
_atom_site_fract_z
Ca1 Ca 0.000 0.000 0.000
Ac1 Ac 0.000 0.000 0.500
Al1 Al 0.250 0.250 0.250
Cu1 Cu 0.250 0.250 0.750
```

Results
energy relative to the lowest polymorph listed for this composition = 18 meV/atom
ΔE_f = -0.54 eV/f.u.
DOS(E_F) = 0.7588 states/eV per atom
calculated density = 5.44 g/cm3



A relaxed CaAcAlCu crystal. Source: Alexandria, functional GGA-PBE.

Geometry as CIF:
```
data_CaAcAlCu
_symmetry_space_group_name_H-M 'C 1 m 1'
_symmetry_Int_Tables_number 8
_symmetry_space_group_name_Hall 'C -2y'
_cell_length_a 7.427
_cell_length_b 4.288
_cell_length_c 8.119
_cell_angle_alpha 90.00
_cell_angle_beta 107.68
_cell_angle_gamma 90.00
loop_
_atom_site_label
_atom_site_type_symbol
_atom_site_fract_x
_atom_site_fract_y
_atom_site_fract_z
Ca1 Ca 0.000 0.000 0.000
Ac1 Ac 0.320 0.500 0.457
Al1 Al 0.247 0.000 0.740
Cu1 Cu 0.082 0.500 0.743
```

Results
energy relative to the lowest polymorph listed for this composition = 0 meV/atom
ΔE_f = -0.61 eV/f.u.
DOS(E_F) = 1.1505 states/eV per atom
calculated density = 4.82 g/cm3



A relaxed CaAcDyAl crystal. Source: Alexandria, functional GGA-PBE.

Geometry as CIF:
```
data_CaAcDyAl
_symmetry_space_group_name_H-M 'F -4 3 m'
_symmetry_Int_Tables_number 216
_symmetry_space_group_name_Hall 'F -4 2 3'
_cell_length_a 7.941
_cell_length_b 7.941
_cell_length_c 7.941
_cell_angle_alpha 90.00
_cell_angle_beta 90.00
_cell_angle_gamma 90.00
loop_
_atom_site_label
_atom_site_type_symbol
_atom_site_fract_x
_atom_site_fract_y
_atom_site_fract_z
Ca1 Ca 0.000 0.000 0.000
Ac1 Ac 0.250 0.250 0.250
Dy1 Dy 0.250 0.250 0.750
Al1 Al 0.000 0.000 0.500
```

Results
ΔE_f = -0.03 eV/f.u.
DOS(E_F) = 0.7182 states/eV per atom
calculated density = 6.06 g/cm3



A relaxed CaAcEuAl crystal. Source: Alexandria, functional GGA-PBE.

Geometry as CIF:
```
data_CaAcEuAl
_symmetry_space_group_name_H-M 'F -4 3 m'
_symmetry_Int_Tables_number 216
_symmetry_space_group_name_Hall 'F -4 2 3'
_cell_length_a 8.146
_cell_length_b 8.146
_cell_length_c 8.146
_cell_angle_alpha 90.00
_cell_angle_beta 90.00
_cell_angle_gamma 90.00
loop_
_atom_site_label
_atom_site_type_symbol
_atom_site_fract_x
_atom_site_fract_y
_atom_site_fract_z
Ca1 Ca 0.000 0.000 0.000
Ac1 Ac 0.250 0.250 0.250
Eu1 Eu 0.250 0.250 0.750
Al1 Al 0.000 0.000 0.500
```

Results
ΔE_f = -0.10 eV/f.u.
DOS(E_F) = 2.8346 states/eV per atom
calculated density = 5.48 g/cm3



A relaxed CaAc2Al4Ga3 crystal. Source: Alexandria, functional GGA-PBE.

Geometry as CIF:
```
data_CaAc2Al4Ga3
_symmetry_space_group_name_H-M 'P -4 m 2'
_symmetry_Int_Tables_number 115
_symmetry_space_group_name_Hall 'P -4 -2'
_cell_length_a 4.497
_cell_length_b 4.497
_cell_length_c 11.950
_cell_angle_alpha 90.00
_cell_angle_beta 90.00
_cell_angle_gamma 90.00
loop_
_atom_site_label
_atom_site_type_symbol
_atom_site_fract_x
_atom_site_fract_y
_atom_site_fract_z
Ca1 Ca 0.000 0.000 0.000
Ac1 Ac 0.000 0.500 0.730
Al1 Al 0.000 0.000 0.500
Al2 Al 0.000 0.500 0.157
Al3 Al 0.500 0.500 0.500
Ga1 Ga 0.000 0.500 0.377
Ga2 Ga 0.500 0.500 0.000
```

Results
ΔE_f = -3.42 eV/f.u.
DOS(E_F) = 0.5433 states/eV per atom
calculated density = 5.57 g/cm3



A relaxed CaAc2Al3Ga4 crystal. Source: Alexandria, functional GGA-PBE.

Geometry as CIF:
```
data_CaAc2Al3Ga4
_symmetry_space_group_name_H-M 'P -4 m 2'
_symmetry_Int_Tables_number 115
_symmetry_space_group_name_Hall 'P -4 -2'
_cell_length_a 4.600
_cell_length_b 4.600
_cell_length_c 11.329
_cell_angle_alpha 90.00
_cell_angle_beta 90.00
_cell_angle_gamma 90.00
loop_
_atom_site_label
_atom_site_type_symbol
_atom_site_fract_x
_atom_site_fract_y
_atom_site_fract_z
Ca1 Ca 0.000 0.000 0.000
Ac1 Ac 0.000 0.500 0.729
Al1 Al 0.000 0.500 0.380
Al2 Al 0.500 0.500 0.000
Ga1 Ga 0.000 0.000 0.500
Ga2 Ga 0.000 0.500 0.154
Ga3 Ga 0.500 0.500 0.500
```

Results
ΔE_f = -4.10 eV/f.u.
DOS(E_F) = 0.4846 states/eV per atom
calculated density = 5.92 g/cm3